(1)
Density functional theory data (GGA-PBEsol) for a geometry-optimized CdCu3Cl structure.

Cell and atoms, written as POSCAR:
```
CdCu3Cl
1.0
4.777 0.000 0.000
0.000 4.777 0.000
0.000 0.000 4.777
Cd Cu Cl
1 3 1
Cartesian
0.000 0.000 0.000
0.000 0.000 2.388
0.000 2.388 0.000
2.388 0.000 0.000
2.388 2.388 2.388
```

Calculated values
Raw formation energy ... 1003.3 meV/atom


(2)
Density functional theory data (GGA-PBEsol) for a geometry-optimized In2GaIr structure.

Cell and atoms, written as POSCAR:
```
In2GaIr
1.0
-4.988 4.988 2.387
4.988 -4.988 2.387
4.988 4.988 -2.387
In Ga Ir
4 2 2
Cartesian
0.000 0.000 0.000
2.494 2.494 -1.193
2.494 -2.494 1.193
0.000 4.988 0.000
4.988 2.494 0.597
0.000 2.494 1.790
4.988 -2.494 1.790
0.000 7.482 0.597
```

Calculated values
Total energy ... -4.879 eV/atom


(3)
Density functional theory data (GGA-PBEsol) for a geometry-optimized ZrHgW2 structure.

Cell and atoms, written as POSCAR:
```
ZrHgW2
1.0
2.854 0.000 0.000
0.000 4.307 0.000
-0.855 0.000 5.853
Zr Hg W
1 1 2
Cartesian
0.000 0.000 0.000
1.412 2.154 1.545
-0.035 0.000 3.155
0.824 2.154 4.338
```

Calculated values
Total energy ... -9.060 eV/atom


(4)
Density functional theory data (GGA-PBEsol) for a geometry-optimized MgIn2Cu structure.

Cell and atoms, written as POSCAR:
```
MgIn2Cu
1.0
-2.129 2.129 4.276
2.129 -2.129 4.276
2.129 2.129 -4.276
Mg In Cu
1 2 1
Cartesian
0.000 0.000 0.000
2.129 0.000 2.138
0.000 0.000 4.276
0.000 2.129 2.138
```

Calculated values
Total energy ... -2.964 eV/atom


(5)
Density functional theory data (GGA-PBEsol) for a geometry-optimized BeAs2Ir structure.

Cell and atoms, written as POSCAR:
```
BeAs2Ir
1.0
-2.695 2.695 5.132
2.695 -2.695 5.132
2.695 2.695 -5.132
Be As Ir
2 4 2
Cartesian
0.000 0.000 0.000
0.000 2.695 2.566
4.042 1.230 -1.283
1.230 1.347 1.283
-1.347 1.465 3.849
1.465 1.347 6.415
2.695 0.000 2.566
0.000 0.000 5.132
```

Calculated values
Total energy ... -5.873 eV/atom


(6)
Density functional theory data (GGA-PBEsol) for a geometry-optimized GePOsCl2 structure.

Cell and atoms, written as POSCAR:
```
GePOsCl2
1.0
4.572 0.000 0.000
0.000 4.572 0.000
0.000 0.000 5.040
Ge P Os Cl
1 1 1 2
Cartesian
0.000 0.000 0.000
2.286 2.286 2.520
0.000 0.000 2.520
0.000 2.286 0.000
2.286 0.000 0.000
```

Calculated values
Raw formation energy ... 1327.0 meV/atom


(7)
Density functional theory data (GGA-PBEsol) for a geometry-optimized Re2NiBr structure.

Cell and atoms, written as POSCAR:
```
Re2NiBr
1.0
3.697 0.000 0.000
0.000 3.697 0.000
0.000 0.000 4.325
Re Ni Br
2 1 1
Cartesian
0.000 1.848 0.000
1.848 0.000 0.000
0.000 0.000 2.163
1.848 1.848 2.163
```

Calculated values
Raw formation energy ... 1321.0 meV/atom
ΔE to the lowest computed polymorph ... 817 meV/atom


(8)
Density functional theory data (GGA-PBEsol) for a geometry-optimized SiGe3Cl structure.

Cell and atoms, written as POSCAR:
```
SiGe3Cl
1.0
4.806 0.000 0.000
0.000 4.806 0.000
0.000 0.000 4.806
Si Ge Cl
1 3 1
Cartesian
0.000 0.000 0.000
0.000 0.000 2.403
0.000 2.403 0.000
2.403 0.000 0.000
2.403 2.403 2.403
```

Calculated values
Raw formation energy ... 571.1 meV/atom


(9)
Density functional theory data (GGA-PBEsol) for a geometry-optimized HfSc2Ga2 structure.

Cell and atoms, written as POSCAR:
```
HfSc2Ga2
1.0
7.490 0.000 0.000
0.000 7.490 0.000
0.000 0.000 3.416
Hf Sc Ga
2 4 4
Cartesian
0.000 0.000 0.000
3.745 3.745 0.000
1.326 2.419 1.708
2.419 6.164 1.708
5.071 1.326 1.708
6.164 5.071 1.708
0.921 4.666 0.000
2.824 0.921 0.000
4.666 6.569 0.000
6.569 2.824 0.000
```

Calculated values
Total energy ... -6.562 eV/atom


(10)
Density functional theory data (GGA-PBEsol) for a geometry-optimized NaScRe2Si structure.

Cell and atoms, written as POSCAR:
```
NaScRe2Si
1.0
4.662 0.000 0.000
0.000 4.662 0.000
0.000 0.000 4.952
Na Sc Re Si
1 1 2 1
Cartesian
0.000 0.000 0.000
2.331 2.331 2.476
0.000 2.331 2.476
2.331 0.000 2.476
2.331 2.331 0.000
```

Calculated values
Raw formation energy ... 2018.7 meV/atom


(11)
Density functional theory data (GGA-PBEsol) for a geometry-optimized ZrSO structure.

Cell and atoms, written as POSCAR:
```
ZrSO
1.0
3.569 0.000 0.000
0.000 3.569 0.000
0.000 0.000 6.329
Zr S O
2 2 2
Cartesian
0.892 0.892 1.246
2.677 2.677 5.083
0.892 0.892 3.965
2.677 2.677 2.364
0.892 2.677 0.000
2.677 0.892 0.000
```

Calculated values
Raw formation energy ... -2595.8 meV/atom
ΔE to the lowest computed polymorph ... 0 meV/atom


(12)
Density functional theory data (GGA-PBEsol) for a geometry-optimized SrLa2Cd2 structure.

Cell and atoms, written as POSCAR:
```
SrLa2Cd2
1.0
9.330 0.000 0.000
0.000 9.330 0.000
0.000 0.000 3.541
Sr La Cd
2 4 4
Cartesian
0.000 0.000 0.000
4.665 4.665 0.000
1.087 3.578 0.000
3.578 8.244 0.000
5.752 1.087 0.000
8.244 5.752 0.000
1.656 6.321 1.771
3.009 1.656 1.771
6.321 7.674 1.771
7.674 3.009 1.771
```

Calculated values
Total energy ... -3.173 eV/atom